The following is a DFT calculation (SCAN) of a crystal of YHf2Pt2 relaxed with PBEsol.

Calculated values
Energy above the lowest structure with this stoichiometry, kJ per mole of atoms: 0.00
Density of states at the Fermi level, states/eV/cell: 6.6
Energy of formation from the pure elements, kJ/mol of formula units: -572

a b c (Å): 4.505 4.505 10.669
angles (deg): 90.00 90.00 90.00
Space group I4/mmm (No. 139)
Inequivalent atoms, fractional coordinates:
Y  0.000  0.000  0.000 x2
Hf  0.000  0.500  0.250 x4
Pt  0.000  0.000  0.379 x4

The following is a DFT calculation (SCAN) of a crystal of GeRuCl2 relaxed with PBEsol.

Calculated values
Density of states at the Fermi level, states/eV/cell: 6.7
E, Ry per atom: -1.2739

a b c (Å): 3.4150 3.4150 24.4886
angles (deg): 90.00 90.00 120.00
Space group R-3m (No. 166, hexagonal axes)
Inequivalent atoms, fractional coordinates:
Ge  0.0000  0.0000  0.0000 x3
Ru  0.0000  0.0000  0.5000 x3
Cl  0.0000  0.0000  0.1138 x6

The following is a DFT calculation (SCAN) of a crystal of Li4Mn3Cu3Te2O16 relaxed with PBEsol.

Calculated values
Density of states at the Fermi level, states/eV/cell: 1.4
E, Ry per atom: -0.8670

a b c (Å): 10.508 5.700 9.693
angles (deg): 90.00 94.49 90.00
Space group Cm (No. 8)
Inequivalent atoms, fractional coordinates:
Li  0.000  0.000  0.000 x2
Li  0.004  0.000  0.486 x2
Li  0.148  0.500  0.415 x2
Li  0.328  0.000  0.922 x2
Mn  0.078  0.248  0.723 x4
Mn  0.171  0.000  0.224 x2
Cu  0.327  0.500  0.719 x2
Cu  0.414  0.247  0.214 x4
Te  0.170  0.500  0.992 x2
Te  0.333  0.000  0.490 x2
O  0.012  0.000  0.295 x2
O  0.016  0.500  0.846 x2
O  0.093  0.254  0.095 x4
O  0.148  0.000  0.629 x2
O  0.153  0.500  0.628 x2
O  0.225  0.265  0.856 x4
O  0.234  0.223  0.351 x4
O  0.315  0.000  0.127 x2
O  0.339  0.500  0.087 x2
O  0.431  0.260  0.600 x4
O  0.467  0.000  0.359 x2
O  0.498  0.500  0.813 x2

The following is a DFT calculation (SCAN) of a crystal of LiCoNiO4 relaxed with PBEsol.

Calculated values
E, Ry per atom: -0.7465

a b c (Å): 5.630 5.646 7.868
angles (deg): 90.00 90.00 90.00
Space group Imma (No. 74)
Inequivalent atoms, fractional coordinates:
Li  0.000  0.000  0.000 x4
Co  0.250  0.250  0.250 x4
Ni  0.000  0.000  0.500 x4
O  0.000  0.032  0.261 x8
O  0.226  0.250  0.487 x8

The following is a DFT calculation (SCAN) of a crystal of Sr2YAl2 relaxed with PBEsol.

Calculated values
Density of states at the Fermi level, states/eV/cell: 10.9
Energy of formation from the pure elements, kJ/mol of formula units: 105

a b c (Å): 3.769 3.769 23.382
angles (deg): 90.00 90.00 90.00
Space group I4/mmm (No. 139)
Inequivalent atoms, fractional coordinates:
Sr  0.000  0.000  0.125 x4
Y  0.000  0.000  0.500 x2
Al  0.000  0.500  0.250 x4

The following is a DFT calculation (SCAN) of a crystal of Cd2CoOs relaxed with PBEsol.

Calculated values
Energy above the lowest structure with this stoichiometry, kJ per mole of atoms: 0.00
Density of states at the Fermi level, states/eV/cell: 1.6
Energy of formation from the pure elements, kJ/mol of formula units: 197

a b c (Å): 3.164 4.368 4.478
angles (deg): 90.00 90.00 90.00
Space group Pmmm (No. 47)
Inequivalent atoms, fractional coordinates:
Cd  0.000  0.000  0.000 x1
Cd  0.500  0.500  0.000 x1
Co  0.000  0.500  0.500 x1
Os  0.500  0.000  0.500 x1